No. 1
Entry from the Alexandria database: a relaxed structure of Hf8Zr2Sc (PBE).

density of states at the Fermi level: 11.1 states/eV per cell
ΔE_f: 0.1649 eV/atom
SG: C2
size of the total moment: 0.000 μB/cell

POSCAR file:
```
Hf8Zr2Sc
1.0
-0.540 -2.482 -1.933
7.962 0.213 -2.499
6.533 -7.197 4.786
Hf Zr Sc
8 2 1
Cartesian
6.250 -5.873 0.615
9.258 -3.874 -2.800
7.313 -3.152 -0.547
2.522 -1.531 -1.292
4.958 -3.156 -2.518
4.305 -5.150 2.867
8.607 -5.868 2.585
11.042 -7.495 1.357
9.223 -5.688 -0.457
4.341 -3.336 0.524
6.335 -6.990 4.629
```

---

No. 2
Entry from the Alexandria database: a relaxed structure of HfZr5Sc4 (PBE).

density of states at the Fermi level: 14.1 states/eV per cell
ΔE_f: 0.2731 eV/atom
SG: I4mm
size of the total moment: 0.000 μB/cell

POSCAR file:
```
HfZr5Sc4
1.0
5.632 0.000 0.000
2.816 6.579 0.000
2.816 0.000 6.579
Zr Sc Hf
5 4 1
Cartesian
3.879 0.000 0.000
8.236 6.577 2.445
2.604 0.002 4.134
5.420 2.445 0.002
5.420 4.134 6.577
2.463 2.080 2.078
5.279 4.501 2.080
5.279 2.078 4.499
8.095 4.499 4.501
1.256 0.000 0.000
```

---

No. 3
Entry from the Alexandria database: a relaxed structure of Hf2Zr2Sc3 (PBE).

density of states at the Fermi level: 9.7 states/eV per cell
ΔE_f: 0.1271 eV/atom
SG: C2/m
size of the total moment: 0.000 μB/cell

POSCAR file:
```
Hf2Zr2Sc3
1.0
3.090 0.000 0.000
0.000 7.711 -0.793
-1.545 -3.275 7.231
Zr Sc Hf
2 3 2
Cartesian
0.000 -2.219 6.242
1.545 6.656 0.196
0.000 3.856 -0.396
0.000 4.734 2.492
1.545 -0.297 3.947
0.000 1.600 1.891
1.545 2.837 4.547
```

---

No. 4
Entry from the Alexandria database: a relaxed structure of Hf2ZrSc2 (PBE).

density of states at the Fermi level: 7.7 states/eV per cell
ΔE_f: 0.0528 eV/atom
SG: R-3m
size of the total moment: 0.000 μB/cell

POSCAR file:
```
Hf2ZrSc2
1.0
-2.724 -1.627 -0.308
-0.411 -2.736 1.584
-6.153 5.180 10.557
Hf Zr Sc
2 1 2
Cartesian
-3.118 1.238 4.536
-6.171 -0.420 7.297
0.000 0.000 0.000
-3.119 -1.572 2.892
-6.169 2.390 8.942
```

---

No. 5
Entry from the Alexandria database: a relaxed structure of Hf2ZrSc3 (PBE).

density of states at the Fermi level: 16.9 states/eV per cell
ΔE_f: 0.1132 eV/atom
SG: C2/m
size of the total moment: 0.000 μB/cell

POSCAR file:
```
Hf2ZrSc3
1.0
3.127 0.000 0.000
1.564 7.952 0.118
1.564 1.823 11.526
Hf Sc Zr
4 6 2
Cartesian
3.127 2.181 6.083
4.691 5.425 10.247
3.127 7.593 5.562
1.564 4.350 1.398
4.691 7.754 8.201
1.564 1.467 0.263
4.691 7.148 2.653
4.691 8.307 11.382
1.564 2.020 3.444
1.564 2.627 8.992
3.127 5.040 7.526
3.127 4.734 4.118
```

---

No. 6
Entry from the Alexandria database: a relaxed structure of Hf4ZrSc3 (PBE).

density of states at the Fermi level: 9.2 states/eV per cell
ΔE_f: 0.0369 eV/atom
SG: Pmm2
size of the total moment: 0.000 μB/cell

POSCAR file:
```
Hf4ZrSc3
1.0
-0.655 -0.484 -3.051
3.278 -3.636 -0.127
-8.393 -7.671 3.017
Hf Zr Sc
4 1 3
Cartesian
-6.037 -5.461 0.527
-1.524 -1.393 0.548
-1.340 -4.483 -0.636
-5.239 -8.104 2.409
0.768 -2.556 -1.394
-3.097 -6.147 1.639
-3.663 -3.348 1.317
-8.194 -7.432 1.302
```

---

No. 7
Entry from the Alexandria database: a relaxed structure of Hf3Zr3Sc (PBE).

density of states at the Fermi level: 8.9 states/eV per cell
ΔE_f: -0.0058 eV/atom
SG: P6_3/m
size of the total moment: 0.000 μB/cell

POSCAR file:
```
Hf3Zr3Sc
1.0
-2.515 -1.117 4.274
5.757 -6.050 1.806
1.183 7.991 2.785
Zr Hf Sc
6 6 2
Cartesian
5.080 -4.493 3.326
3.606 2.179 7.226
-0.487 -0.078 4.227
4.912 0.901 4.638
-0.655 5.316 5.539
0.819 -1.356 1.639
2.152 1.229 3.099
3.436 3.802 4.528
0.649 4.063 2.955
3.776 -3.240 5.910
0.989 -2.979 4.337
2.273 -0.406 5.766
0.821 2.472 5.664
3.604 -1.649 3.201
```

---

No. 8
Entry from the Alexandria database: a relaxed structure of HfZr3Sc (PBE).

density of states at the Fermi level: 6.3 states/eV per cell
ΔE_f: 1.0551 eV/atom
SG: C2/m
size of the total moment: 0.000 μB/cell

POSCAR file:
```
HfZr3Sc
1.0
-4.307 -0.421 3.518
1.791 -4.519 -4.228
6.140 0.879 1.742
Zr Sc Hf
3 1 1
Cartesian
3.966 -1.820 -1.243
3.070 0.440 0.871
0.896 -2.260 -2.114
-2.153 -0.211 1.759
0.000 0.000 0.000
```

---

No. 9
Entry from the Alexandria database: a relaxed structure of Hf2Zr2Sc (PBE).

density of states at the Fermi level: 13.8 states/eV per cell
ΔE_f: 0.3044 eV/atom
SG: C2/c
size of the total moment: 0.000 μB/cell

POSCAR file:
```
Hf2Zr2Sc
1.0
7.759 1.014 1.463
-2.358 5.180 0.266
-2.358 -1.569 4.944
Zr Hf Sc
4 4 2
Cartesian
4.221 0.570 2.176
2.702 3.295 6.108
0.341 1.330 0.565
-1.177 4.056 4.498
-2.358 1.806 2.605
2.701 3.097 0.865
1.522 2.313 3.337
-1.179 -0.785 2.472
-0.418 4.054 1.588
3.462 0.571 5.085
```

---

No. 10
Entry from the Alexandria database: a relaxed structure of Hf2Zr4Sc3 (PBE).

density of states at the Fermi level: 13.2 states/eV per cell
ΔE_f: 0.0864 eV/atom
SG: C2/m
size of the total moment: 0.000 μB/cell

POSCAR file:
```
Hf2Zr4Sc3
1.0
-4.131 1.109 -2.643
-1.858 -5.655 0.532
-0.447 3.675 7.021
Hf Zr Sc
2 4 3
Cartesian
-4.539 -3.777 0.727
-1.896 2.906 4.182
-4.801 -1.073 2.271
-3.275 0.127 5.171
-3.161 -0.998 -0.261
-1.634 0.202 2.638
0.000 0.000 0.000
-1.973 -2.819 1.901
-4.462 1.948 3.009
```

---

No. 11
Entry from the Alexandria database: a relaxed structure of Hf4Zr3Sc (PBE).

density of states at the Fermi level: 6.6 states/eV per cell
ΔE_f: 0.0144 eV/atom
SG: Pmm2
size of the total moment: 0.000 μB/cell

POSCAR file:
```
Hf4Zr3Sc
1.0
3.131 0.000 0.000
0.000 4.916 0.000
0.000 0.000 11.786
Hf Zr Sc
4 3 1
Cartesian
0.000 0.000 2.146
1.565 0.000 8.065
1.565 2.458 3.761
0.000 2.458 9.637
0.000 0.000 5.121
1.565 0.000 11.020
0.000 2.458 6.661
1.565 2.458 0.734
```

---

No. 12
Entry from the Alexandria database: a relaxed structure of Hf2Zr15Sc2 (PBE).

density of states at the Fermi level: 39.5 states/eV per cell
ΔE_f: 0.2894 eV/atom
SG: R-3m
size of the total moment: 0.001 μB/cell

POSCAR file:
```
Hf2Zr15Sc2
1.0
-4.929 2.362 5.624
-6.576 -3.710 -2.122
0.155 -6.187 4.817
Sc Zr Hf
2 15 2
Cartesian
-7.835 -5.202 5.743
-3.514 -2.333 2.576
-4.157 -5.729 5.374
-6.087 -1.909 0.176
-4.016 -2.976 6.220
0.077 -3.094 2.408
-1.353 -3.651 5.056
-6.556 -1.694 5.755
-1.842 -5.452 2.758
-3.421 -0.175 5.385
-3.288 -1.855 -1.061
-7.334 -4.560 2.100
-2.464 1.181 2.812
-4.579 -4.445 -0.063
-4.793 -5.841 2.564
-5.418 0.560 3.326
-7.192 -1.807 2.945
-1.078 -0.716 0.790
-10.272 -6.820 7.529
```

---

No. 13
Entry from the Alexandria database: a relaxed structure of Hf2ZrSc (PBE).

density of states at the Fermi level: 5.5 states/eV per cell
ΔE_f: 0.1691 eV/atom
SG: Fm-3m
size of the total moment: 0.000 μB/cell

POSCAR file:
```
Hf2ZrSc
1.0
-4.985 -0.363 -0.638
-2.931 4.037 0.708
-2.205 2.235 -3.942
Hf Sc Zr
2 1 1
Cartesian
-7.591 4.432 -2.904
-2.530 1.477 -0.968
0.000 0.000 0.000
-5.061 2.955 -1.936
```

---

No. 14
Entry from the Alexandria database: a relaxed structure of Hf4Zr2Sc5 (PBE).

density of states at the Fermi level: 16.9 states/eV per cell
ΔE_f: 0.0947 eV/atom
SG: C2/m
size of the total moment: 0.000 μB/cell

POSCAR file:
```
Hf4Zr2Sc5
1.0
3.230 0.000 0.000
0.000 7.824 2.856
-1.615 0.788 10.631
Hf Zr Sc
4 2 5
Cartesian
1.615 3.463 3.508
1.615 6.208 12.321
0.000 5.149 9.979
0.000 2.404 1.166
1.615 5.609 7.373
0.000 3.004 6.114
1.615 8.008 9.709
0.000 0.604 3.778
1.615 2.756 8.746
1.615 0.000 0.000
0.000 5.856 4.741
```

---

No. 15
Entry from the Alexandria database: a relaxed structure of Hf6ZrSc8 (PBE).

density of states at the Fermi level: 17.5 states/eV per cell
ΔE_f: 0.4307 eV/atom
SG: P6/m
size of the total moment: 0.000 μB/cell

POSCAR file:
```
Hf6ZrSc8
1.0
7.094 1.758 -5.485
-7.298 -4.436 -3.250
-2.134 4.479 -1.324
Hf Zr Sc
6 1 8
Cartesian
-1.148 3.297 -6.910
-3.992 -2.821 -3.113
-2.321 -2.797 -5.724
-0.016 4.598 -4.334
1.655 4.622 -6.946
-1.189 -1.496 -3.148
-1.067 2.240 -0.662
-3.342 0.749 -2.037
-1.505 0.319 -6.454
1.004 1.052 -8.021
-3.567 -0.132 -4.657
-5.856 -1.465 -5.479
3.518 3.266 -4.580
1.230 1.933 -5.402
-0.833 1.482 -3.604
```

---

No. 16
Entry from the Alexandria database: a relaxed structure of HfZrSc5 (PBE).

density of states at the Fermi level: 22.3 states/eV per cell
ΔE_f: 0.0115 eV/atom
SG: P2_1/m
size of the total moment: 0.000 μB/cell

POSCAR file:
```
HfZrSc5
1.0
3.220 0.000 0.000
0.000 7.822 -0.336
0.000 0.076 13.326
Sc Zr Hf
10 2 2
Cartesian
2.415 7.611 7.844
0.805 5.281 6.203
0.805 6.606 0.348
0.805 0.288 5.147
2.415 2.618 6.787
2.415 5.714 3.141
0.805 3.461 1.156
2.415 4.437 11.834
2.415 1.292 12.642
0.805 2.184 9.849
2.415 1.035 2.484
0.805 6.864 10.506
2.415 4.763 8.895
0.805 3.136 4.095
```

---

No. 17
Entry from the Alexandria database: a relaxed structure of Hf3Zr5Sc3 (PBE).

density of states at the Fermi level: 15.7 states/eV per cell
ΔE_f: 0.3980 eV/atom
SG: P-62m
size of the total moment: 0.001 μB/cell

POSCAR file:
```
Hf3Zr5Sc3
1.0
3.068 0.000 0.000
0.000 8.666 -5.003
0.000 0.000 10.006
Hf Sc Zr
3 3 5
Cartesian
0.000 0.000 5.854
0.000 3.596 2.076
0.000 5.070 -2.927
1.534 7.253 -4.187
1.534 0.000 8.375
1.534 1.413 0.816
1.534 2.966 -1.713
1.534 2.889 5.003
1.534 5.777 0.000
1.534 0.000 3.425
1.534 5.699 3.290
```

---

No. 18
Entry from the Alexandria database: a relaxed structure of Hf4ZrSc (PBE).

density of states at the Fermi level: 18.1 states/eV per cell
ΔE_f: 0.0652 eV/atom
SG: P2_1/m
size of the total moment: 0.000 μB/cell

POSCAR file:
```
Hf4ZrSc
1.0
-3.482 -3.491 -2.499
3.749 -4.866 1.572
-0.463 2.599 9.149
Hf Sc Zr
8 2 2
Cartesian
-0.671 -7.133 -1.297
-0.192 -2.450 5.614
0.475 1.376 9.519
-0.004 -3.307 2.608
-2.819 -2.952 3.982
-2.052 -0.036 4.834
1.857 -5.722 3.388
2.623 -2.806 4.240
0.134 -4.178 -0.464
-1.741 -1.745 -1.250
-0.950 -5.392 4.756
0.754 -0.365 3.466
```

---

No. 19
Entry from the Alexandria database: a relaxed structure of Hf2ZrSc (PBE).

density of states at the Fermi level: 5.7 states/eV per cell
ΔE_f: 0.0572 eV/atom
SG: P4/mmm
size of the total moment: 0.000 μB/cell

POSCAR file:
```
Hf2ZrSc
1.0
4.508 0.000 0.000
0.000 4.498 0.000
0.000 0.000 4.498
Zr Hf Sc
1 2 1
Cartesian
2.254 2.249 2.249
0.000 2.249 0.000
0.000 0.000 2.249
2.254 0.000 0.000
```

---

No. 20
Entry from the Alexandria database: a relaxed structure of HfZr2Sc (PBE).

density of states at the Fermi level: 5.9 states/eV per cell
ΔE_f: 0.0372 eV/atom
SG: Cmmm
size of the total moment: 0.000 μB/cell

POSCAR file:
```
HfZr2Sc
1.0
3.066 -0.796 -0.279
-1.700 6.740 -1.669
0.030 -1.731 5.263
Zr Hf Sc
2 1 1
Cartesian
0.000 0.000 0.000
0.683 2.972 -0.974
-0.835 2.505 1.797
1.548 -1.263 2.492
```